(1)
# HfZrC | Alexandria via LeMat-Bulk | GGA-PBE | optimized geometry
data_HfZrC
_chemical_formula_sum 'Hf4 Zr4 C4'
_space_group_name_H-M_alt 'C 1 2/m 1'
_space_group_IT_number 12
_space_group_name_Hall '-C 2y'
_cell_length_a 10.804
_cell_length_b 3.315
_cell_length_c 5.750
_cell_angle_alpha 90.00
_cell_angle_beta 99.94
_cell_angle_gamma 90.00
loop_
_atom_site_label
_atom_site_type_symbol
_atom_site_fract_x
_atom_site_fract_y
_atom_site_fract_z
_atom_site_occupancy
Hf1 Hf 0.117 0.000 0.371 1
Zr1 Zr 0.119 0.500 0.872 1
C1 C 0.000 0.000 0.000 1
C2 C 0.000 0.500 0.500 1
# Total moment ... 0.000 μB/atom
# Formation energy ... -0.6327 eV/atom
# E_tot ... -9.87 eV/atom
# Energy above the lowest structure with this stoichiometry ... 0.000 eV/atom
# Crystal system ... monoclinic

(2)
# LiMn2TlN | Alexandria via LeMat-Bulk | GGA-PBE | optimized geometry
data_LiMn2TlN
_chemical_formula_sum 'Li1 Mn2 Tl1 N1'
_space_group_name_H-M_alt 'P 4/m m m'
_space_group_IT_number 123
_space_group_name_Hall '-P 4 2'
_cell_length_a 3.830
_cell_length_b 3.830
_cell_length_c 4.323
_cell_angle_alpha 90.00
_cell_angle_beta 90.00
_cell_angle_gamma 90.00
loop_
_atom_site_label
_atom_site_type_symbol
_atom_site_fract_x
_atom_site_fract_y
_atom_site_fract_z
_atom_site_occupancy
Li1 Li 0.000 0.000 0.000 1
Mn1 Mn 0.000 0.500 0.500 1
Tl1 Tl 0.500 0.500 0.000 1
N1 N 0.000 0.000 0.500 1
# Total moment ... 0.751 μB/atom
# Formation energy from raw total energies ... -0.13 eV per atom
# E_tot ... -6.32 eV/atom
# Energy above the lowest structure with this stoichiometry ... 0.000 eV/atom
# Crystal system ... tetragonal